1.
First-principles (PBE-GGA) data for ZnOsO4 after structural relaxation, as listed in the Alexandria database.

## Properties
**VASP energy**: -6.446 eV per atom
**Calculated volume**: 11.2 A^3/atom

Cell and atoms, written as CIF:
```
data_ZnOsO4
_chemical_formula_sum 'Zn2 Os2 O8'
_cell_length_a 5.615
_cell_length_b 4.603
_cell_length_c 5.576
_cell_angle_alpha 90.00
_cell_angle_beta 111.55
_cell_angle_gamma 90.00
_symmetry_space_group_name_H-M 'P 1 21/c 1'
_symmetry_Int_Tables_number 14
loop_
_symmetry_equiv_pos_as_xyz
'x,y,z'
'-x,-y,-z'
'-x,y+1/2,-z+1/2'
'x,-y+1/2,z+1/2'
loop_
_atom_site_label
_atom_site_type_symbol
_atom_site_fract_x
_atom_site_fract_y
_atom_site_fract_z
Zn1 Zn 0.000 0.000 0.000
Os1 Os 0.500 0.000 0.500
O1 O 0.184 0.195 0.372
O2 O 0.360 0.729 0.681
```


2.
First-principles (PBE-GGA) data for Sm3FeSi3 after structural relaxation, as listed in the Alexandria database.

## Properties
**VASP energy**: -6.232 eV per atom
**Calculated volume**: 21.0 A^3/atom

Cell and atoms, written as CIF:
```
data_Sm3FeSi3
_chemical_formula_sum 'Sm12 Fe4 Si12'
_cell_length_a 10.868
_cell_length_b 4.224
_cell_length_c 13.763
_cell_angle_alpha 90.00
_cell_angle_beta 111.77
_cell_angle_gamma 90.00
_symmetry_space_group_name_H-M 'C 1 2/m 1'
_symmetry_Int_Tables_number 12
loop_
_symmetry_equiv_pos_as_xyz
'x,y,z'
'-x,-y,-z'
'-x,y,-z'
'x,-y,z'
'x+1/2,y+1/2,z'
'-x+1/2,-y+1/2,-z'
'-x+1/2,y+1/2,-z'
'x+1/2,-y+1/2,z'
loop_
_atom_site_label
_atom_site_type_symbol
_atom_site_fract_x
_atom_site_fract_y
_atom_site_fract_z
Sm1 Sm 0.024 0.000 0.380
Sm2 Sm 0.101 0.000 0.919
Sm3 Sm 0.249 0.500 0.770
Fe1 Fe 0.245 0.500 0.417
Si1 Si 0.062 0.500 0.244
Si2 Si 0.109 0.500 0.076
Si3 Si 0.154 0.500 0.545
```


3.
First-principles (PBE-GGA) data for CrMoBr2 after structural relaxation, as listed in the Alexandria database.

## Properties
**VASP energy**: -5.924 eV per atom
**Calculated volume**: 21.8 A^3/atom
**Excess energy over the best structure of this formula in the dataset**: 0 meV/atom

Cell and atoms, written as CIF:
```
data_CrMoBr2
_chemical_formula_sum 'Cr2 Mo2 Br4'
_cell_length_a 5.437
_cell_length_b 3.440
_cell_length_c 9.626
_cell_angle_alpha 90.00
_cell_angle_beta 103.84
_cell_angle_gamma 90.00
_symmetry_space_group_name_H-M 'C 1 m 1'
_symmetry_Int_Tables_number 8
loop_
_symmetry_equiv_pos_as_xyz
'x,y,z'
'x,-y,z'
'x+1/2,y+1/2,z'
'x+1/2,-y+1/2,z'
loop_
_atom_site_label
_atom_site_type_symbol
_atom_site_fract_x
_atom_site_fract_y
_atom_site_fract_z
Cr1 Cr 0.000 0.000 0.000
Mo1 Mo 0.048 0.500 0.171
Br1 Br 0.240 0.000 0.811
Br2 Br 0.320 0.000 0.381
```